1.
Entry from Alexandria: a relaxed KYCu2 crystal (PBE).

a b c (Å): 3.665 3.696 8.646
angles (deg): 64.40 90.00 90.00
Element x y z (fractional)
Cu: 0.000 0.083 0.916
Cu: 0.000 0.417 0.584
K: 0.500 0.250 0.250
Y: 0.500 0.750 0.750

Summary:
polymorph energy (0 for the lowest one) = 0.00 kJ/mol of atoms
formation energy = 62 meV/atom

2.
Entry from Alexandria: a relaxed LaIrOs2 crystal (PBE).

a b c (Å): 4.980 4.980 4.980
angles (deg): 129.90 129.90 73.57
Element x y z (fractional)
La: 0.750 0.250 0.500
Ir: 0.500 0.500 0.000
Os: 0.000 0.000 0.000
Os: 0.250 0.750 0.500

Summary:
polymorph energy (0 for the lowest one) = 32.63 kJ/mol of atoms
formation energy = 530 meV/atom

3.
Entry from Alexandria: a relaxed Rb2CuReCl crystal (PBE).

a b c (Å): 6.819 4.404 6.819
angles (deg): 90.00 90.00 90.00
Last column: magnetic moment on the atom in μB.
Element x y z (fractional)
Rb: 0.500 0.000 0.000  0.01
Rb: 0.000 0.000 0.500  0.01
Re: 0.000 0.000 0.000  1.13
Cl: 0.000 0.500 0.000  0.00
Cu: 0.500 0.500 0.500  0.06

Summary:
formation energy from raw total energies = 0.910 eV/atom

It is found that the total moment values, taken in the order of the records, are 0.00, 0.00, 1.47 μB per cell.
It is found that the Fermi-level density of states values, taken in the order of the records, are 0.377, 1.513, 1.001 states/eV/atom.